[1]
# KTc2Ru | the Alexandria database | PBE-GGA | relaxed
# Offset from the most stable computed form (kJ/mol of formula units): 27.9
# Space-group type: Cmm2, No. 35
# V (Å³/cell): 69.3
# DFT total energy (eV per atom): -6.955
data_KTc2Ru
_chemical_formula_sum 'K1 Tc2 Ru1'
_symmetry_space_group_name_H-M 'P 1'
_symmetry_Int_Tables_number 1
_cell_length_a 2.737
_cell_length_b 2.737
_cell_length_c 10.299
_cell_angle_alpha 90.00
_cell_angle_beta 90.00
_cell_angle_gamma 116.01
loop_
_symmetry_equiv_pos_as_xyz
'x,y,z'
loop_
_atom_site_label
_atom_site_type_symbol
_atom_site_fract_x
_atom_site_fract_y
_atom_site_fract_z
Tc1 Tc 0.500 0.500 0.211
Tc2 Tc 0.000 0.000 0.999
K1 K 0.000 0.000 0.504
Ru1 Ru 0.500 0.500 0.786

***

[2]
# CaAg2Sb | the Alexandria database | PBE-GGA | relaxed
# Space-group type: P4mm, No. 99
# V (Å³/cell): 94.7
# ΔE_f (raw) (eV/atom): -0.192
# DFT total energy (eV per atom): -3.148
data_CaAg2Sb
_chemical_formula_sum 'Ca1 Ag2 Sb1'
_symmetry_space_group_name_H-M 'P 1'
_symmetry_Int_Tables_number 1
_cell_length_a 3.625
_cell_length_b 3.625
_cell_length_c 7.206
_cell_angle_alpha 90.00
_cell_angle_beta 90.00
_cell_angle_gamma 90.00
loop_
_symmetry_equiv_pos_as_xyz
'x,y,z'
loop_
_atom_site_label
_atom_site_type_symbol
_atom_site_fract_x
_atom_site_fract_y
_atom_site_fract_z
Ag1 Ag 0.500 0.500 0.211
Ag2 Ag 0.000 0.000 0.021
Sb1 Sb 0.500 0.500 0.782
Ca1 Ca 0.000 0.000 0.486

***

[3]
# Dy3Ge4Os2 | the Alexandria database | PBE-GGA | relaxed
# Space-group type: C2/m, No. 12
# V (Å³/cell): 179.9
# DFT total energy (eV per atom): -6.712
data_Dy3Ge4Os2
_chemical_formula_sum 'Dy3 Ge4 Os2'
_symmetry_space_group_name_H-M 'P 1'
_symmetry_Int_Tables_number 1
_cell_length_a 4.367
_cell_length_b 5.792
_cell_length_c 8.159
_cell_angle_alpha 108.25
_cell_angle_beta 90.00
_cell_angle_gamma 112.14
loop_
_symmetry_equiv_pos_as_xyz
'x,y,z'
loop_
_atom_site_label
_atom_site_type_symbol
_atom_site_fract_x
_atom_site_fract_y
_atom_site_fract_z
Os1 Os 0.319 0.639 0.639
Os2 Os 0.681 0.361 0.361
Ge1 Ge 0.908 0.817 0.596
Ge2 Ge 0.713 0.426 0.079
Ge3 Ge 0.287 0.574 0.921
Ge4 Ge 0.092 0.183 0.404
Dy1 Dy 0.622 0.244 0.699
Dy2 Dy 0.000 0.000 0.000
Dy3 Dy 0.378 0.756 0.301

***

[4]
# ZrPd4Au5 | the Alexandria database | PBE-GGA | relaxed
# Space-group type: P-1, No. 2
# V (Å³/cell): 171.6
# DFT total energy (eV per atom): -4.902
data_ZrPd4Au5
_chemical_formula_sum 'Zr1 Pd4 Au5'
_symmetry_space_group_name_H-M 'P 1'
_symmetry_Int_Tables_number 1
_cell_length_a 4.965
_cell_length_b 5.807
_cell_length_c 6.487
_cell_angle_alpha 103.39
_cell_angle_beta 105.06
_cell_angle_gamma 74.87
loop_
_symmetry_equiv_pos_as_xyz
'x,y,z'
loop_
_atom_site_label
_atom_site_type_symbol
_atom_site_fract_x
_atom_site_fract_y
_atom_site_fract_z
Au1 Au 0.100 0.395 0.199
Au2 Au 0.500 0.500 0.000
Au3 Au 0.704 0.801 0.403
Au4 Au 0.900 0.605 0.801
Au5 Au 0.296 0.199 0.597
Pd1 Pd 0.897 0.100 0.800
Pd2 Pd 0.694 0.294 0.393
Pd3 Pd 0.103 0.900 0.200
Pd4 Pd 0.306 0.706 0.607
Zr1 Zr 0.500 0.000 0.000

***

> Which value of DFT total energy does entry 1 give?

-6.955 eV per atom

***

> V of number 4 (ZrPd4Au5)?

171.6 Å³/cell

***

> Among the records above, which one has the highest DFT total energy?

CaAg2Sb

***

> Number 2 is which compound?

CaAg2Sb